[1]
Here is Mn2AgBr after structural relaxation from the Alexandria database. Energies are from PBE.

Cell: 3.267 3.267 7.458 Å, 90.00 90.00 90.00°
Fractional positions:
1 Mn 0.000 0.000 0.000
2 Mn 0.500 0.500 0.207
3 Ag 0.000 0.000 0.414
4 Br 0.500 0.500 0.803

Output
Raw formation energy   0.2654 eV per atom
Space-group type   P4mm (99)
Energy relative to the lowest polymorph listed for this composition   5.6 meV/atom

***

[2]
Here is MnAg2Br8 after structural relaxation from the Alexandria database. Energies are from PBE.

Cell: 7.292 7.292 8.346 Å, 98.14 98.14 93.46°
Fractional positions:
1 Mn 0.000 0.000 0.000
2 Ag 0.129 0.129 0.398
3 Ag 0.871 0.871 0.602
4 Br 0.016 0.689 0.856
5 Br 0.151 0.151 0.719
6 Br 0.311 0.984 0.144
7 Br 0.399 0.399 0.560
8 Br 0.601 0.601 0.440
9 Br 0.689 0.016 0.856
10 Br 0.849 0.849 0.281
11 Br 0.984 0.311 0.144

Output
Raw formation energy   -0.2948 eV per atom
Space-group type   C2/m (12)

***

[3]
Here is MnAgBr4 after structural relaxation from the Alexandria database. Energies are from PBE.

Cell: 6.381 6.381 6.381 Å, 60.00 60.00 60.00°
Fractional positions:
1 Mn 0.000 0.000 0.000
2 Ag 0.750 0.750 0.750
3 Br 0.375 0.375 0.375
4 Br 0.375 0.375 0.874
5 Br 0.375 0.874 0.375
6 Br 0.874 0.375 0.375

Output
Raw formation energy   0.7658 eV per atom
Space-group type   F-43m (216)
Energy relative to the lowest polymorph listed for this composition   1292.3 meV/atom

***

[4]
Here is MnAg4Br6 after structural relaxation from the Alexandria database. Energies are from PBE.

Cell: 7.797 7.797 13.402 Å, 105.73 105.73 60.71°
Fractional positions:
1 Mn 0.234 0.766 0.500
2 Mn 0.766 0.234 0.000
3 Ag 0.168 0.374 0.246
4 Ag 0.355 0.778 0.089
5 Ag 0.374 0.168 0.746
6 Ag 0.648 0.866 0.437
7 Ag 0.778 0.355 0.589
8 Ag 0.853 0.992 0.242
9 Ag 0.866 0.648 0.937
10 Ag 0.992 0.853 0.742
11 Br 0.009 0.494 0.750
12 Br 0.037 0.094 0.442
13 Br 0.044 0.569 0.439
14 Br 0.094 0.037 0.942
15 Br 0.105 0.652 0.129
16 Br 0.335 0.812 0.693
17 Br 0.494 0.009 0.250
18 Br 0.549 0.565 0.426
19 Br 0.565 0.549 0.926
20 Br 0.569 0.044 0.939
21 Br 0.652 0.105 0.629
22 Br 0.812 0.335 0.193

Output
Raw formation energy   -0.4342 eV per atom
Space-group type   Cc (9)

***

[5]
Here is MnAg3Br8 after structural relaxation from the Alexandria database. Energies are from PBE.

Cell: 8.027 8.027 7.920 Å, 118.21 118.21 61.15°
Fractional positions:
1 Mn 0.000 0.000 0.000
2 Ag 0.000 0.500 0.500
3 Ag 0.500 0.000 0.500
4 Ag 0.500 0.500 0.000
5 Br 0.206 0.785 0.218
6 Br 0.213 0.213 0.202
7 Br 0.215 0.794 0.782
8 Br 0.270 0.270 0.735
9 Br 0.730 0.730 0.265
10 Br 0.785 0.206 0.218
11 Br 0.787 0.787 0.798
12 Br 0.794 0.215 0.782

Output
Raw formation energy   -0.3721 eV per atom
Space-group type   C2/m (12)

***

[6]
Here is MnAgBr4 after structural relaxation from the Alexandria database. Energies are from PBE.

Cell: 6.677 6.677 6.677 Å, 116.83 116.83 95.59°
Fractional positions:
1 Mn 0.000 0.000 0.000
2 Ag 0.750 0.250 0.500
3 Br 0.113 0.665 0.970
4 Br 0.335 0.306 0.448
5 Br 0.694 0.143 0.030
6 Br 0.857 0.887 0.552

Output
Raw formation energy   -0.5148 eV per atom
Space-group type   I-4 (82)
Energy relative to the lowest polymorph listed for this composition   11.7 meV/atom

***

[7]
Here is Mn3Ag2Br8 after structural relaxation from the Alexandria database. Energies are from PBE.

Cell: 7.835 7.835 6.928 Å, 97.15 97.15 60.06°
Fractional positions:
1 Mn 0.000 0.000 0.000
2 Mn 0.252 0.748 0.500
3 Mn 0.748 0.252 0.500
4 Ag 0.280 0.280 0.909
5 Ag 0.720 0.720 0.091
6 Br 0.108 0.108 0.359
7 Br 0.119 0.647 0.141
8 Br 0.353 0.881 0.859
9 Br 0.386 0.386 0.602
10 Br 0.614 0.614 0.398
11 Br 0.647 0.119 0.141
12 Br 0.881 0.353 0.859
13 Br 0.892 0.892 0.641

Output
Raw formation energy   -0.6220 eV per atom
Space-group type   C2/m (12)

***

[8]
Here is Mn3AgBr9 after structural relaxation from the Alexandria database. Energies are from PBE.

Cell: 10.824 10.824 13.675 Å, 123.78 123.78 49.38°
Fractional positions:
1 Mn 0.057 0.943 0.500
2 Mn 0.281 0.525 0.606
3 Mn 0.525 0.281 0.106
4 Mn 0.550 0.710 0.453
5 Mn 0.710 0.550 0.953
6 Mn 0.943 0.057 0.000
7 Ag 0.041 0.473 0.771
8 Ag 0.473 0.041 0.271
9 Br 0.018 0.797 0.560
10 Br 0.111 0.161 0.195
11 Br 0.161 0.111 0.695
12 Br 0.176 0.381 0.599
13 Br 0.234 0.829 0.379
14 Br 0.355 0.428 0.957
15 Br 0.381 0.176 0.099
16 Br 0.428 0.355 0.457
17 Br 0.448 0.667 0.785
18 Br 0.562 0.922 0.453
19 Br 0.596 0.698 0.118
20 Br 0.667 0.448 0.285
21 Br 0.698 0.596 0.618
22 Br 0.797 0.018 0.060
23 Br 0.805 0.994 0.330
24 Br 0.829 0.234 0.879
25 Br 0.922 0.562 0.953
26 Br 0.994 0.805 0.830

Output
Raw formation energy   -0.5501 eV per atom
Space-group type   Cc (9)

***

| no. | total DFT energy (no corrections) (eV per formula unit) |
| --- | --- |
| 1 | -21.80 |
| 2 | -31.50 |
| 3 | -14.12 |
| 4 | -35.39 |
| 5 | -35.57 |
| 6 | -21.80 |
| 7 | -54.68 |
| 8 | -52.57 |